Density functional theory data (PBE with a Hubbard U) for a relaxed Cs2ZnNi3F12 crystal.

Volume   15.516 Å³/atom
N(E_F)   7.02 states/eV/f.u.
Electronic total energy   -72.1 eV per cell

Cell: 7.3527 7.3527 7.3527 Å, 59.72 59.72 59.72°
Last column: magnetic moment on the atom in μB.
Fractional coordinates of all 18 atoms:
Cs: 0.6239 0.6239 0.6239  0.00
Cs: 0.3761 0.3761 0.3761  0.00
Zn: 0.0000 0.0000 0.0000  0.06
Ni: 0.5000 0.0000 0.0000  2.17
Ni: 0.0000 0.5000 0.0000  2.17
Ni: 0.0000 0.0000 0.5000  2.17
F: 0.3161 0.3161 0.9278  0.13
F: 0.9276 0.9276 0.3311  0.09
F: 0.3311 0.9276 0.9276  0.09
F: 0.9278 0.3161 0.3161  0.13
F: 0.9276 0.3311 0.9276  0.09
F: 0.3161 0.9278 0.3161  0.13
F: 0.6839 0.6839 0.0722  0.13
F: 0.0724 0.0724 0.6689  0.09
F: 0.6689 0.0724 0.0724  0.09
F: 0.0722 0.6839 0.6839  0.13
F: 0.0724 0.6689 0.0724  0.09
F: 0.6839 0.0722 0.6839  0.13